Compound: MgTl2PtBr
Source: the Alexandria database
Functional: PBE
Structure: relaxed

Geometry as POSCAR:
```
MgTl2PtBr
1.0
6.0705 0.0000 0.0000
0.0000 4.8196 0.0000
0.0000 0.0000 6.0705
Tl Mg Br Pt
2 1 1 1
direct
0.0000 0.0000 0.5000
0.5000 0.0000 0.0000
0.5000 0.5000 0.5000
0.0000 0.0000 0.0000
0.0000 0.5000 0.0000
```

Values from the calculation:
calculated total energy	-2.4026	eV/atom
M_tot	0.00	μB/f.u.
Fermi-level density of states	0.485	states/eV per atom
formation energy (no corrections)	0.406	eV/atom

=====

Compound: YMgPt2Br
Source: the Alexandria database
Functional: PBE
Structure: relaxed

Geometry as POSCAR:
```
YMgPt2Br
1.0
5.0731 0.0000 0.0000
0.0000 6.9502 0.0000
0.0000 0.0000 5.0731
Pt Mg Br Y
2 1 1 1
direct
0.0000 0.0000 0.5000
0.5000 0.0000 0.0000
0.0000 0.5000 0.0000
0.5000 0.5000 0.5000
0.0000 0.0000 0.0000
```

Values from the calculation:
calculated total energy	-3.7423	eV/atom
M_tot	0.00	μB/f.u.
Fermi-level density of states	0.810	states/eV per atom
formation energy (no corrections)	0.620	eV/atom